! PBE Ba8Ru3N8, optimized geometry; values from VASP
! * symmetry: C2/m (12)
&SYSTEM
  ibrav = 0, nat = 19, ntyp = 3
/
ATOMIC_SPECIES
Ba 137.33 Ba.upf
Ru 101.07 Ru.upf
N 14.01 N.upf
ATOMIC_POSITIONS crystal
Ba 0.604 0.948 0.208
Ru 0.185 0.200 0.371
N 0.896 0.987 0.792
Ba 0.202 0.801 0.404
Ba 0.798 0.199 0.596
N 0.274 0.166 0.548
N 0.726 0.834 0.452
Ba 0.668 0.468 0.336
Ba 0.396 0.052 0.792
N 0.478 0.703 0.955
N 0.104 0.013 0.208
N 0.823 0.578 0.646
Ba 0.974 0.739 0.948
N 0.522 0.297 0.045
N 0.177 0.422 0.354
Ba 0.026 0.261 0.052
Ru 0.815 0.800 0.629
Ba 0.332 0.532 0.664
Ru 0.500 0.500 0.000
CELL_PARAMETERS angstrom
-3.915 -1.820 3.717
3.194 -7.409 -0.263
6.717 5.816 5.558


! PBE Ba3Ru5N12, optimized geometry; values from VASP
! * symmetry: Ia-3d (230)
&SYSTEM
  ibrav = 0, nat = 80, ntyp = 3
/
ATOMIC_SPECIES
Ru 101.07 Ru.upf
N 14.01 N.upf
Ba 137.33 Ba.upf
ATOMIC_POSITIONS crystal
Ru 0.000 0.000 0.500
N 0.577 0.897 0.389
N 0.180 0.688 0.077
N 0.923 0.812 0.820
N 0.897 0.320 0.508
N 0.889 0.812 0.492
N 0.508 0.820 0.897
N 0.923 0.111 0.603
Ru 0.125 0.750 0.375
Ru 0.500 0.000 0.000
N 0.188 0.077 0.680
Ru 0.000 0.000 0.000
N 0.320 0.423 0.812
N 0.320 0.897 0.008
N 0.397 0.008 0.820
Ba 0.250 0.125 0.375
N 0.992 0.389 0.812
Ru 0.875 0.625 0.750
N 0.889 0.077 0.897
N 0.812 0.923 0.320
N 0.492 0.180 0.103
N 0.688 0.508 0.611
N 0.611 0.008 0.688
Ru 0.250 0.875 0.125
N 0.077 0.188 0.180
Ru 0.125 0.375 0.250
Ba 0.875 0.750 0.125
Ru 0.750 0.125 0.875
N 0.111 0.188 0.508
Ba 0.625 0.375 0.750
Ba 0.375 0.750 0.625
N 0.312 0.492 0.389
N 0.688 0.180 0.577
Ru 0.750 0.625 0.375
N 0.820 0.312 0.923
N 0.008 0.397 0.320
N 0.077 0.889 0.397
N 0.508 0.688 0.111
Ba 0.750 0.375 0.125
Ba 0.375 0.625 0.250
N 0.312 0.820 0.423
N 0.603 0.611 0.923
N 0.423 0.103 0.611
Ru 0.625 0.875 0.250
Ru 0.375 0.125 0.750
Ru 0.000 0.500 0.500
N 0.389 0.992 0.312
N 0.577 0.680 0.688
Ru 0.375 0.250 0.125
Ba 0.125 0.875 0.750
Ru 0.875 0.250 0.625
N 0.680 0.103 0.992
N 0.812 0.889 0.992
Ba 0.750 0.875 0.625
N 0.492 0.312 0.889
Ba 0.875 0.125 0.250
Ru 0.625 0.750 0.875
N 0.389 0.397 0.577
N 0.992 0.603 0.680
N 0.820 0.508 0.397
N 0.103 0.680 0.492
N 0.008 0.611 0.188
Ba 0.625 0.250 0.375
N 0.103 0.423 0.111
Ba 0.250 0.625 0.875
N 0.180 0.492 0.603
N 0.897 0.577 0.889
Ru 0.500 0.500 0.500
N 0.397 0.389 0.077
Ru 0.250 0.375 0.625
N 0.111 0.923 0.103
N 0.423 0.320 0.312
Ru 0.000 0.500 0.000
Ba 0.125 0.250 0.875
N 0.188 0.111 0.008
Ru 0.500 0.000 0.500
N 0.611 0.603 0.423
Ru 0.500 0.500 0.000
N 0.603 0.992 0.180
N 0.680 0.577 0.188
CELL_PARAMETERS angstrom
-8.615 6.875 3.332
-0.672 -10.010 5.652
10.075 5.061 2.341


! PBE Ba2RuN2, optimized geometry; values from VASP
! * symmetry: I4/mmm (139)
&SYSTEM
  ibrav = 0, nat = 5, ntyp = 3
/
ATOMIC_SPECIES
Ba 137.33 Ba.upf
N 14.01 N.upf
Ru 101.07 Ru.upf
ATOMIC_POSITIONS crystal
Ba 0.139 0.139 0.777
N 0.638 0.638 0.777
N 0.362 0.362 0.223
Ru 0.500 0.500 0.500
Ba 0.861 0.861 0.223
CELL_PARAMETERS angstrom
4.203 0.000 0.000
0.000 4.203 0.000
-2.102 -2.102 6.597


! PBE Ba2RuN2, optimized geometry; values from VASP
! * symmetry: Pnma (62)
&SYSTEM
  ibrav = 0, nat = 20, ntyp = 3
/
ATOMIC_SPECIES
N 14.01 N.upf
Ru 101.07 Ru.upf
Ba 137.33 Ba.upf
ATOMIC_POSITIONS crystal
N 0.250 0.632 0.263
Ru 0.750 0.770 0.898
Ba 0.250 0.858 0.092
Ba 0.750 0.142 0.908
Ba 0.750 0.027 0.316
Ba 0.750 0.527 0.184
N 0.750 0.776 0.054
Ba 0.750 0.642 0.592
Ru 0.750 0.270 0.602
Ru 0.250 0.230 0.102
N 0.750 0.368 0.737
Ba 0.250 0.973 0.684
Ru 0.250 0.730 0.398
N 0.250 0.132 0.237
N 0.750 0.276 0.446
N 0.750 0.868 0.763
Ba 0.250 0.358 0.408
N 0.250 0.724 0.554
N 0.250 0.224 0.946
Ba 0.250 0.473 0.816
CELL_PARAMETERS angstrom
5.131 0.000 0.000
0.000 8.882 0.000
0.000 0.000 11.570


! PBE Ba4RuN4, optimized geometry; values from VASP
! * symmetry: P-1 (2)
&SYSTEM
  ibrav = 0, nat = 18, ntyp = 3
/
ATOMIC_SPECIES
N 14.01 N.upf
Ba 137.33 Ba.upf
Ru 101.07 Ru.upf
ATOMIC_POSITIONS crystal
N 0.599 0.173 0.661
Ba 0.731 0.541 0.554
N 0.401 0.827 0.339
Ba 0.269 0.459 0.446
Ru 0.750 0.874 0.750
Ba 0.792 0.630 0.133
Ru 0.250 0.126 0.250
N 0.032 0.277 0.392
Ba 0.210 0.922 0.634
N 0.968 0.723 0.608
Ba 0.270 0.773 0.054
N 0.601 0.723 0.839
Ba 0.730 0.227 0.946
N 0.032 0.190 0.109
N 0.399 0.277 0.161
N 0.968 0.810 0.891
Ba 0.208 0.370 0.867
Ba 0.790 0.078 0.366
CELL_PARAMETERS angstrom
-0.810 -7.278 -0.301
3.291 -3.628 -5.188
8.189 -2.212 3.459


! PBE BaRuN, optimized geometry; values from VASP
! * symmetry: P2_13 (198)
&SYSTEM
  ibrav = 0, nat = 12, ntyp = 3
/
ATOMIC_SPECIES
N 14.01 N.upf
Ba 137.33 Ba.upf
Ru 101.07 Ru.upf
ATOMIC_POSITIONS crystal
N 0.911 0.089 0.589
N 0.411 0.411 0.411
Ba 0.145 0.145 0.145
Ba 0.355 0.855 0.645
Ru 0.354 0.646 0.146
N 0.089 0.589 0.911
Ru 0.146 0.354 0.646
Ba 0.855 0.645 0.355
Ru 0.646 0.146 0.354
N 0.589 0.911 0.089
Ru 0.854 0.854 0.854
Ba 0.645 0.355 0.855
CELL_PARAMETERS angstrom
6.008 0.000 0.000
0.000 6.008 0.000
0.000 0.000 6.008


! PBE Ba2RuN3, optimized geometry; values from VASP
! * symmetry: P2_1/c (14)
&SYSTEM
  ibrav = 0, nat = 24, ntyp = 3
/
ATOMIC_SPECIES
Ru 101.07 Ru.upf
N 14.01 N.upf
Ba 137.33 Ba.upf
ATOMIC_POSITIONS crystal
Ru 0.488 0.732 0.836
N 0.952 0.986 0.738
Ru 0.512 0.268 0.164
Ba 0.512 0.145 0.420
Ru 0.512 0.768 0.336
Ba 0.502 0.438 0.362
Ba 0.498 0.062 0.862
N 0.506 0.842 0.947
N 0.494 0.158 0.053
N 0.511 0.090 0.630
Ru 0.488 0.232 0.664
Ba 0.502 0.938 0.138
Ba 0.488 0.355 0.920
N 0.048 0.514 0.238
Ba 0.488 0.855 0.580
N 0.505 0.341 0.553
Ba 0.512 0.645 0.080
N 0.952 0.486 0.762
N 0.511 0.590 0.870
N 0.489 0.410 0.130
N 0.495 0.659 0.447
N 0.048 0.014 0.262
N 0.489 0.910 0.370
Ba 0.498 0.562 0.638
CELL_PARAMETERS angstrom
6.741 0.022 0.000
-10.746 5.271 0.000
-0.001 -0.001 13.150


! PBE BaRu2N2, optimized geometry; values from VASP
! * symmetry: I4/mcm (140)
&SYSTEM
  ibrav = 0, nat = 10, ntyp = 3
/
ATOMIC_SPECIES
Ba 137.33 Ba.upf
Ru 101.07 Ru.upf
N 14.01 N.upf
ATOMIC_POSITIONS crystal
Ba 0.750 0.750 0.000
Ru 0.360 0.140 0.500
N 0.655 0.155 0.811
Ru 0.140 0.640 0.779
N 0.155 0.345 0.500
N 0.845 0.655 0.500
Ru 0.860 0.360 0.221
N 0.345 0.845 0.189
Ba 0.250 0.250 0.000
Ru 0.640 0.860 0.500
CELL_PARAMETERS angstrom
-2.256 -5.204 3.586
3.684 1.661 5.357
-4.193 4.373 -2.886


For the records above, the corresponding total energy values read -6.214 -7.424 -6.317 -6.283 -5.902 -6.266 -6.691 -7.429 eV per atom.